No. 1
! Fe2HgHSe PBE optimized geometry; values from VASP
! M_tot: 5.46 μB per cell
! VASP energy: -4.2509 eV per atom
&SYSTEM
  ibrav = 0, nat = 5, ntyp = 4
/
ATOMIC_SPECIES
H 1.01 H.upf
Hg 200.59 Hg.upf
Se 78.96 Se.upf
Fe 55.84 Fe.upf
CELL_PARAMETERS angstrom
3.895 0.000 0.000
0.000 4.670 0.000
0.000 0.000 3.895
ATOMIC_POSITIONS crystal
H 0.000 0.000 0.000
Hg 0.500 0.500 0.500
Se 0.000 0.500 0.000
Fe 0.000 0.000 0.500
Fe 0.500 0.000 0.000

=====

No. 2
! FeSnHgH2 PBE optimized geometry; values from VASP
! M_tot: 3.17 μB per cell
! VASP energy: -3.1948 eV per atom
&SYSTEM
  ibrav = 0, nat = 5, ntyp = 4
/
ATOMIC_SPECIES
Fe 55.84 Fe.upf
H 1.01 H.upf
Hg 200.59 Hg.upf
Sn 118.71 Sn.upf
CELL_PARAMETERS angstrom
-2.959 0.762 -2.341
-3.398 -3.769 3.069
-1.093 2.872 2.317
ATOMIC_POSITIONS crystal
Fe 0.500 0.500 0.500
H 0.000 0.000 0.500
H 0.500 0.000 0.000
Hg 0.000 0.500 0.000
Sn 0.000 0.000 0.000

=====

No. 3
! Ta2FeHgH PBE optimized geometry; values from VASP
! M_tot: 0.00 μB per cell
! VASP energy: -5.8097 eV per atom
&SYSTEM
  ibrav = 0, nat = 5, ntyp = 4
/
ATOMIC_SPECIES
Fe 55.84 Fe.upf
H 1.01 H.upf
Hg 200.59 Hg.upf
Ta 180.95 Ta.upf
CELL_PARAMETERS angstrom
-3.733 0.408 2.487
-2.348 -3.173 -3.003
1.344 -3.438 2.581
ATOMIC_POSITIONS crystal
Fe 0.000 0.000 0.000
H 0.500 0.500 0.500
Hg 0.000 0.500 0.000
Ta 0.000 0.000 0.500
Ta 0.500 0.000 0.000

=====

No. 4
! FeHgTeH2 PBE optimized geometry; values from VASP
! M_tot: 2.96 μB per cell
! VASP energy: -3.2246 eV per atom
&SYSTEM
  ibrav = 0, nat = 5, ntyp = 4
/
ATOMIC_SPECIES
H 1.01 H.upf
Te 127.60 Te.upf
Hg 200.59 Hg.upf
Fe 55.84 Fe.upf
CELL_PARAMETERS angstrom
-3.238 0.608 -2.268
2.391 -2.395 -4.055
-1.495 -3.512 1.193
ATOMIC_POSITIONS crystal
H 0.000 0.000 0.500
H 0.500 0.000 0.000
Te 0.000 0.500 0.000
Hg 0.500 0.500 0.500
Fe 0.000 0.000 0.000

=====

No. 5
! Zn2FeHgH PBE optimized geometry; values from VASP
! M_tot: 3.06 μB per cell
! VASP energy: -2.0149 eV per atom
&SYSTEM
  ibrav = 0, nat = 5, ntyp = 4
/
ATOMIC_SPECIES
H 1.01 H.upf
Zn 65.41 Zn.upf
Hg 200.59 Hg.upf
Fe 55.84 Fe.upf
CELL_PARAMETERS angstrom
-0.895 -2.599 -3.885
2.412 -3.963 2.095
-4.094 -1.473 1.928
ATOMIC_POSITIONS crystal
H 0.500 0.500 0.500
Zn 0.000 0.000 0.500
Zn 0.500 0.000 0.000
Hg 0.000 0.500 0.000
Fe 0.000 0.000 0.000

=====

No. 6
! Zr2FeHgH PBE optimized geometry; values from VASP
! M_tot: 1.50 μB per cell
! VASP energy: -5.9834 eV per atom
&SYSTEM
  ibrav = 0, nat = 5, ntyp = 4
/
ATOMIC_SPECIES
H 1.01 H.upf
Hg 200.59 Hg.upf
Zr 91.22 Zr.upf
Fe 55.84 Fe.upf
CELL_PARAMETERS angstrom
4.550 0.000 0.000
0.000 4.550 0.000
0.000 0.000 3.809
ATOMIC_POSITIONS crystal
H 0.000 0.000 0.000
Hg 0.500 0.500 0.500
Zr 0.000 0.500 0.000
Zr 0.500 0.000 0.000
Fe 0.000 0.000 0.500

=====

No. 7
! HoFeH6 PBE optimized geometry; values from VASP
! M_tot: 1.00 μB per cell
! VASP energy: -4.3625 eV per atom
&SYSTEM
  ibrav = 0, nat = 8, ntyp = 3
/
ATOMIC_SPECIES
Ho 164.93 Ho.upf
Fe 55.84 Fe.upf
H 1.01 H.upf
CELL_PARAMETERS angstrom
3.869 0.000 2.021
1.407 3.605 2.021
0.197 0.135 4.337
ATOMIC_POSITIONS crystal
Ho 0.500 0.500 0.500
Fe 0.000 0.000 0.000
H 0.897 0.897 0.776
H 0.430 0.897 0.776
H 0.103 0.570 0.224
H 0.570 0.103 0.224
H 0.103 0.103 0.224
H 0.897 0.430 0.776

=====

No. 8
! HoFe2H8 PBE optimized geometry; values from VASP
! M_tot: 1.54 μB per cell
! VASP energy: -4.5486 eV per atom
&SYSTEM
  ibrav = 0, nat = 11, ntyp = 3
/
ATOMIC_SPECIES
Ho 164.93 Ho.upf
Fe 55.84 Fe.upf
H 1.01 H.upf
CELL_PARAMETERS angstrom
4.201 0.041 -0.041
-0.057 3.899 -2.084
0.045 -0.149 4.419
ATOMIC_POSITIONS crystal
Ho 0.091 0.078 0.078
Fe 0.591 0.711 0.369
Fe 0.591 0.369 0.711
H 0.329 0.050 0.604
H 0.329 0.604 0.050
H 0.842 0.572 0.572
H 0.853 0.049 0.604
H 0.853 0.604 0.049
H 0.340 0.572 0.572
H 0.591 0.305 0.051
H 0.591 0.051 0.305

=====

No. 9
! HoFeH3 PBE optimized geometry; values from VASP
! M_tot: 0.82 μB per cell
! VASP energy: -5.0100 eV per atom
&SYSTEM
  ibrav = 0, nat = 5, ntyp = 3
/
ATOMIC_SPECIES
H 1.01 H.upf
Ho 164.93 Ho.upf
Fe 55.84 Fe.upf
CELL_PARAMETERS angstrom
-3.111 -0.296 -1.548
-0.564 -2.990 1.705
-1.472 1.771 2.619
ATOMIC_POSITIONS crystal
H 0.000 0.500 0.000
H 0.000 0.000 0.500
H 0.500 0.000 0.000
Ho 0.500 0.500 0.500
Fe 0.000 0.000 0.000

=====

No. 10
! Ho12Fe3H5 PBE optimized geometry; values from VASP
! M_tot: 0.00 μB per cell
! VASP energy: -4.9957 eV per atom
&SYSTEM
  ibrav = 0, nat = 80, ntyp = 3
/
ATOMIC_SPECIES
H 1.01 H.upf
Ho 164.93 Ho.upf
Fe 55.84 Fe.upf
CELL_PARAMETERS angstrom
12.822 0.000 0.000
-4.274 12.089 0.000
-4.274 -6.044 10.469
ATOMIC_POSITIONS crystal
H 0.125 0.375 0.250
H 0.000 0.500 0.000
H 0.000 0.000 0.000
H 0.375 0.250 0.125
H 0.500 0.000 0.500
H 0.500 0.500 0.000
H 0.125 0.750 0.375
H 0.750 0.125 0.875
H 0.750 0.625 0.375
H 0.375 0.125 0.750
H 0.625 0.875 0.250
H 0.500 0.500 0.500
H 0.500 0.000 0.000
H 0.000 0.000 0.500
H 0.250 0.375 0.625
H 0.250 0.875 0.125
H 0.000 0.500 0.500
H 0.875 0.250 0.625
H 0.625 0.750 0.875
H 0.875 0.625 0.750
Ho 0.718 0.124 0.030
Ho 0.312 0.530 0.406
Ho 0.970 0.376 0.282
Ho 0.530 0.218 0.124
Ho 0.594 0.718 0.688
Ho 0.970 0.594 0.188
Ho 0.312 0.782 0.406
Ho 0.094 0.906 0.124
Ho 0.594 0.970 0.688
Ho 0.718 0.594 0.188
Ho 0.782 0.470 0.376
Ho 0.812 0.906 0.030
Ho 0.124 0.718 0.530
Ho 0.376 0.406 0.094
Ho 0.094 0.906 0.376
Ho 0.406 0.124 0.594
Ho 0.094 0.188 0.218
Ho 0.470 0.688 0.094
Ho 0.812 0.906 0.282
Ho 0.124 0.406 0.094
Ho 0.376 0.970 0.782
Ho 0.594 0.624 0.406
Ho 0.906 0.812 0.530
Ho 0.782 0.312 0.906
Ho 0.406 0.376 0.594
Ho 0.094 0.188 0.470
Ho 0.218 0.688 0.094
Ho 0.188 0.094 0.718
Ho 0.624 0.030 0.218
Ho 0.876 0.594 0.906
Ho 0.530 0.312 0.906
Ho 0.594 0.876 0.406
Ho 0.906 0.812 0.782
Ho 0.906 0.094 0.624
Ho 0.876 0.282 0.470
Ho 0.188 0.094 0.970
Ho 0.624 0.594 0.906
Ho 0.406 0.030 0.312
Ho 0.282 0.406 0.812
Ho 0.218 0.530 0.624
Ho 0.906 0.094 0.876
Ho 0.688 0.218 0.594
Ho 0.470 0.782 0.876
Ho 0.030 0.406 0.812
Ho 0.406 0.282 0.312
Ho 0.030 0.624 0.718
Ho 0.688 0.470 0.594
Ho 0.282 0.876 0.970
Fe 0.750 0.375 0.125
Fe 0.875 0.750 0.125
Fe 0.375 0.750 0.625
Fe 0.250 0.125 0.375
Fe 0.875 0.125 0.250
Fe 0.375 0.625 0.250
Fe 0.625 0.375 0.750
Fe 0.125 0.875 0.750
Fe 0.750 0.875 0.625
Fe 0.625 0.250 0.375
Fe 0.125 0.250 0.875
Fe 0.250 0.625 0.875

=====

No. 11
! Ho2FeH PBE optimized geometry; values from VASP
! M_tot: 2.42 μB per cell
! VASP energy: -4.8439 eV per atom
&SYSTEM
  ibrav = 0, nat = 4, ntyp = 3
/
ATOMIC_SPECIES
H 1.01 H.upf
Ho 164.93 Ho.upf
Fe 55.84 Fe.upf
CELL_PARAMETERS angstrom
3.264 0.000 0.000
1.632 2.827 0.000
1.632 0.942 8.232
ATOMIC_POSITIONS crystal
H 0.500 0.500 0.500
Ho 0.109 0.109 0.674
Ho 0.891 0.891 0.326
Fe 0.000 0.000 0.000

=====

No. 12
! HoFeSiH PBE optimized geometry; values from VASP
! M_tot: 1.04 μB per cell
! VASP energy: -6.1212 eV per atom
&SYSTEM
  ibrav = 0, nat = 8, ntyp = 4
/
ATOMIC_SPECIES
Ho 164.93 Ho.upf
Fe 55.84 Fe.upf
Si 28.09 Si.upf
H 1.01 H.upf
CELL_PARAMETERS angstrom
-1.375 0.606 -3.570
-3.616 -0.031 1.387
0.351 7.123 1.074
ATOMIC_POSITIONS crystal
Ho 0.500 0.000 0.664
Ho 0.000 0.500 0.336
Fe 0.500 0.500 0.000
Fe 0.000 0.000 0.000
Si 0.000 0.500 0.835
Si 0.500 0.000 0.165
H 0.000 0.000 0.500
H 0.500 0.500 0.500

=====

No. 13
! HoZnFe2H8 PBE optimized geometry; values from VASP
! M_tot: 0.00 μB per cell
! VASP energy: -3.9656 eV per atom
&SYSTEM
  ibrav = 0, nat = 12, ntyp = 4
/
ATOMIC_SPECIES
Ho 164.93 Ho.upf
Zn 65.41 Zn.upf
Fe 55.84 Fe.upf
H 1.01 H.upf
CELL_PARAMETERS angstrom
-0.717 4.233 1.131
-2.868 -3.149 1.253
3.287 -0.870 5.340
ATOMIC_POSITIONS crystal
Ho 0.000 0.000 0.500
Zn 0.000 0.000 0.000
Fe 0.333 0.667 0.836
Fe 0.667 0.333 0.164
H 0.145 0.291 0.779
H 0.145 0.855 0.779
H 0.709 0.855 0.779
H 0.291 0.145 0.221
H 0.667 0.333 0.412
H 0.333 0.667 0.588
H 0.855 0.709 0.221
H 0.855 0.145 0.221

=====

No. 14
! FeH2I2 PBE optimized geometry; values from VASP
! M_tot: 6.51 μB per cell
! Energy above the lowest structure with this stoichiometry: 0 meV per atom
&SYSTEM
  ibrav = 0, nat = 10, ntyp = 3
/
ATOMIC_SPECIES
Fe 55.84 Fe.upf
H 1.01 H.upf
I 126.90 I.upf
CELL_PARAMETERS angstrom
3.955 -0.913 -0.407
-0.984 3.937 -0.407
0.467 0.476 14.909
ATOMIC_POSITIONS crystal
Fe 0.500 0.500 0.000
Fe 0.750 0.250 0.500
H 0.801 0.801 0.602
H 0.051 0.551 0.102
H 0.449 0.949 0.898
H 0.199 0.199 0.398
I 0.942 0.442 0.885
I 0.692 0.692 0.385
I 0.308 0.308 0.615
I 0.558 0.058 0.115

=====

No. 15
! Fe2HI8 PBE optimized geometry; values from VASP
! M_tot: 8.94 μB per cell
! VASP energy: -3.0508 eV per atom
&SYSTEM
  ibrav = 0, nat = 11, ntyp = 3
/
ATOMIC_SPECIES
Fe 55.84 Fe.upf
H 1.01 H.upf
I 126.90 I.upf
CELL_PARAMETERS angstrom
7.129 -0.645 -0.156
-0.572 8.644 0.813
-1.254 -0.758 8.577
ATOMIC_POSITIONS crystal
Fe 0.844 0.805 0.762
Fe 0.156 0.238 0.195
H 0.000 0.847 0.153
I 0.234 0.956 0.268
I 0.284 0.323 0.952
I 0.716 0.048 0.676
I 0.287 0.420 0.425
I 0.766 0.732 0.044
I 0.193 0.819 0.763
I 0.807 0.237 0.181
I 0.713 0.575 0.580

=====

No. 16
! FeH2I3 PBE optimized geometry; values from VASP
! M_tot: 6.00 μB per cell
! VASP energy: -3.1182 eV per atom
&SYSTEM
  ibrav = 0, nat = 12, ntyp = 3
/
ATOMIC_SPECIES
Fe 55.84 Fe.upf
H 1.01 H.upf
I 126.90 I.upf
CELL_PARAMETERS angstrom
-6.195 -3.821 6.275
-0.680 -4.688 -8.362
1.886 -4.344 0.968
ATOMIC_POSITIONS crystal
Fe 0.989 0.011 0.750
Fe 0.011 0.989 0.250
H 0.239 0.428 0.572
H 0.428 0.239 0.072
H 0.572 0.761 0.928
H 0.761 0.572 0.428
I 0.372 0.628 0.250
I 0.628 0.372 0.750
I 0.952 0.728 0.118
I 0.272 0.048 0.382
I 0.728 0.952 0.618
I 0.048 0.272 0.882

=====

No. 17
! Fe2HI PBE optimized geometry; values from VASP
! M_tot: 11.67 μB per cell
! Energy above the lowest structure with this stoichiometry: 0 meV per atom
&SYSTEM
  ibrav = 0, nat = 8, ntyp = 3
/
ATOMIC_SPECIES
I 126.90 I.upf
H 1.01 H.upf
Fe 55.84 Fe.upf
CELL_PARAMETERS angstrom
-2.322 3.109 -2.830
-0.487 -3.410 -3.346
-5.885 -1.579 -0.981
ATOMIC_POSITIONS crystal
I 0.000 0.000 0.000
I 0.750 0.250 0.500
H 0.500 0.500 0.000
H 0.250 0.750 0.500
Fe 0.440 0.125 0.250
Fe 0.310 0.625 0.250
Fe 0.375 0.560 0.750
Fe 0.875 0.690 0.750

=====

No. 18
! FeH2I2 PBE optimized geometry; values from VASP
! M_tot: 6.11 μB per cell
! Energy above the lowest structure with this stoichiometry: 141 meV per atom
&SYSTEM
  ibrav = 0, nat = 10, ntyp = 3
/
ATOMIC_SPECIES
I 126.90 I.upf
H 1.01 H.upf
Fe 55.84 Fe.upf
CELL_PARAMETERS angstrom
-4.911 -1.131 -5.773
-3.139 -5.856 3.818
-2.660 2.573 1.758
ATOMIC_POSITIONS crystal
I 0.187 0.687 0.000
I 0.687 0.813 0.000
I 0.813 0.313 0.000
I 0.313 0.187 0.000
H 0.189 0.689 0.500
H 0.689 0.811 0.500
H 0.811 0.311 0.500
H 0.311 0.189 0.500
Fe 0.000 0.000 0.000
Fe 0.500 0.500 0.000

=====

No. 19
! FeH3I PBE optimized geometry; values from VASP
! M_tot: 3.77 μB per cell
! Energy above the lowest structure with this stoichiometry: 693 meV per atom
&SYSTEM
  ibrav = 0, nat = 5, ntyp = 3
/
ATOMIC_SPECIES
I 126.90 I.upf
H 1.01 H.upf
Fe 55.84 Fe.upf
CELL_PARAMETERS angstrom
-3.434 -0.980 2.082
2.169 -2.629 2.339
0.770 3.036 2.698
ATOMIC_POSITIONS crystal
I 0.000 0.000 0.000
H 0.000 0.500 0.000
H 0.000 0.000 0.500
H 0.500 0.000 0.000
Fe 0.500 0.500 0.500

=====

No. 20
! FeHI5 PBE optimized geometry; values from VASP
! M_tot: 15.94 μB per cell
! VASP energy: -2.8258 eV per atom
&SYSTEM
  ibrav = 0, nat = 28, ntyp = 3
/
ATOMIC_SPECIES
Fe 55.84 Fe.upf
H 1.01 H.upf
I 126.90 I.upf
CELL_PARAMETERS angstrom
9.410 0.000 0.000
0.000 10.675 0.000
0.000 0.000 13.492
ATOMIC_POSITIONS crystal
Fe 0.750 0.612 0.135
Fe 0.250 0.112 0.365
Fe 0.750 0.888 0.635
Fe 0.250 0.388 0.865
H 0.750 0.256 0.649
H 0.250 0.756 0.851
H 0.750 0.244 0.149
H 0.250 0.744 0.351
I 0.468 0.258 0.846
I 0.032 0.258 0.846
I 0.532 0.742 0.154
I 0.968 0.742 0.154
I 0.468 0.242 0.346
I 0.532 0.758 0.654
I 0.968 0.758 0.654
I 0.032 0.242 0.346
I 0.250 0.896 0.900
I 0.750 0.104 0.100
I 0.250 0.604 0.400
I 0.750 0.396 0.600
I 0.250 0.959 0.222
I 0.750 0.459 0.278
I 0.750 0.041 0.778
I 0.250 0.541 0.722
I 0.250 0.019 0.533
I 0.250 0.481 0.033
I 0.750 0.981 0.467
I 0.750 0.519 0.967